Density functional theory data (GGA+U) for a relaxed structure of Ac3Tl3FeO8.

abc: 7.4464 7.4466 7.5855
angles: 119.41 90.00 120.00
Closest atoms and distances in Å follow each position.
Atoms (fractional coordinates):
O1 0.2696 0.5391 0.3087  3 Ac 2.46
Tl1 0.5000 0.5000 0.0000  6 O 2.86-2.89
O2 0.2029 0.4059 0.6759  1 Fe 2.16
O3 0.7970 0.0270 0.3241  1 Fe 2.16
Ac1 0.0000 0.5000 0.5000  6 O 2.46-2.56
O4 0.7304 0.4609 0.6913  3 Ac 2.46
Fe1 0.0000 0.0000 0.5000  6 O 2.16
O5 0.2030 0.9730 0.6759  1 Fe 2.16
O6 0.2300 0.0270 0.3241  1 Fe 2.16
Ac2 0.5000 0.0000 0.5000  6 O 2.46-2.56
Ac3 0.5000 0.5000 0.5000  6 O 2.46-2.56
O7 0.7971 0.5941 0.3241  1 Fe 2.16
Tl2 0.0000 0.5000 0.0000  6 O 2.86-2.89
O8 0.7700 0.9730 0.6759  1 Fe 2.16
Tl3 0.0000 0.0000 0.0000  6 O 2.86-2.89

The calculation puts the density at 8179 kg/m³. As for the total magnetic moment: 5.48 μB/cell. The value obtained for the volume is 20.005 Å³ per atom. For the total energy, the calculation gives -93.01 eV/f.u.